# PBE with a Hubbard U TlWO2F, optimized geometry
# Magnetic moment = 2.000 μB per cell
# Energy = -5.96 eV per atom
# Crystal system = tetragonal
# Density of states at the Fermi level = 0.03 states/eV/cell
data_TlWO2F
_chemical_formula_sum 'Tl1 W1 O2 F1'
_symmetry_space_group_name_H-M 'P 4/m m m'
_symmetry_Int_Tables_number 123
_symmetry_space_group_name_Hall '-P 4 2'
_cell_length_a 4.115
_cell_length_b 4.115
_cell_length_c 4.395
_cell_angle_alpha 90.00
_cell_angle_beta 90.00
_cell_angle_gamma 90.00
loop_
_atom_site_label
_atom_site_type_symbol
_atom_site_fract_x
_atom_site_fract_y
_atom_site_fract_z
Tl1 Tl 0.000 0.000 0.000
W1 W 0.500 0.500 0.500
O1 O 0.000 0.500 0.500
F1 F 0.500 0.500 0.000